Entry from the Alexandria database: a relaxed structure of Rb4SI2 (PBE).

Computed properties:
space group: I4/mmm, No. 139
crystal system: tetragonal
energy relative to the elements, uncorrected: -1.224 eV/atom
energy above the most stable polymorph in this dataset: 0 meV/atom
magnetic moment: 0.000 μB per cell

Cell lengths 6.2799, 6.2799, 10.4904 Å; angles 72.58, 72.58, 90.00 degrees
With the nearest neighbours (Å) after each atom.
Fractional positions:
S1 0.0000 0.0000 0.0000  6 Rb 3.14-3.15
Rb1 0.1655 0.1655 0.6691  1 S 3.15
Rb2 0.5000 0.0000 0.0000  2 S 3.14
Rb3 0.0000 0.5000 0.0000  2 S 3.14
Rb4 0.8345 0.8345 0.3309  1 S 3.15
I1 0.6414 0.6414 0.7172  1 Rb 3.67
I2 0.3586 0.3586 0.2828  1 Rb 3.67

Entry from the Alexandria database: a relaxed structure of LiHoMg2Pd4 (PBE).

Computed properties:
space group: R-3m, No. 166
crystal system: trigonal
DFT formation energy: -0.707 eV/atom
magnetic moment: 0.000 μB per cell

Cell lengths 4.5653, 4.5653, 8.0169 Å; angles 73.46, 73.46, 60.00 degrees
With the nearest neighbours (Å) after each atom.
Fractional positions:
Mg1 0.7565 0.7565 0.7306  7 Pd 2.68-2.78
Mg2 0.2435 0.2435 0.2694  7 Pd 2.68-2.78
Pd1 0.1256 0.1256 0.6231  4 Mg 2.68-2.76, 3 Li 2.80, 1 Ho 2.85
Pd2 0.8744 0.8744 0.3769  4 Mg 2.68-2.76, 3 Li 2.80, 1 Ho 2.85
Pd3 0.3838 0.3838 0.8487  1 Li 2.64, 3 Mg 2.78, 3 Ho 2.87
Pd4 0.6162 0.6162 0.1513  1 Li 2.64, 3 Mg 2.78, 3 Ho 2.87
Li1 0.5000 0.5000 0.5000  8 Pd 2.64-2.80
Ho1 0.0000 0.0000 0.0000  8 Pd 2.85-2.87

Entry from the Alexandria database: a relaxed structure of InPtSeBr2 (PBE).

Computed properties:
space group: P4/mmm, No. 123
crystal system: tetragonal
energy relative to the elements, uncorrected: -0.113 eV/atom
energy above the most stable polymorph in this dataset: 0 meV/atom
magnetic moment: 0.005 μB per cell

Cell lengths 5.3783, 5.3783, 4.8673 Å; angles 90.00, 90.00, 90.00 degrees
With the nearest neighbours (Å) after each atom.
Fractional positions:
Se1 0.0000 0.0000 0.5000  2 Pt 2.43
Pt1 0.0000 0.0000 0.0000  2 Se 2.43, 4 Br 2.69
Br1 0.5000 0.0000 0.0000  2 Pt 2.69
Br2 0.0000 0.5000 0.0000  2 Pt 2.69
In1 0.5000 0.5000 0.5000  8 Br 3.63, 4 Se 3.80

Entry from the Alexandria database: a relaxed structure of Tb3BiCCl (PBE).

Computed properties:
space group: P2_1/m, No. 11
crystal system: monoclinic
energy relative to the elements, uncorrected: -0.793 eV/atom
magnetic moment: 1.608 μB per cell

Cell lengths 3.7279, 8.6690, 9.8498 Å; angles 98.95, 90.00, 90.00 degrees
With the nearest neighbours (Å) after each atom.
Fractional positions:
Tb1 0.2500 0.6308 0.3846  1 C 2.39
Tb2 0.7500 0.3692 0.6154  1 C 2.39
Tb3 0.7500 0.4261 0.1181  3 C 2.54-2.57
Tb4 0.2500 0.1705 0.8582  2 C 2.52, 1 Cl 2.73
Tb5 0.2500 0.5739 0.8819  3 C 2.54-2.57
Tb6 0.7500 0.8295 0.1418  2 C 2.52, 1 Cl 2.73
Cl1 0.2500 0.1406 0.5782  3 Tb 2.70-2.73
Cl2 0.7500 0.8594 0.4218  3 Tb 2.70-2.73
Bi1 0.7500 0.8455 0.8002  5 Tb 3.20-3.39
Bi2 0.2500 0.1545 0.1998  5 Tb 3.20-3.39
C1 0.7500 0.3668 0.8575  6 Tb 2.39-2.57
C2 0.2500 0.6332 0.1425  6 Tb 2.39-2.57

Entry from the Alexandria database: a relaxed structure of InPPt2 (PBE).

Computed properties:
space group: C2/m, No. 12
crystal system: monoclinic
energy above the most stable polymorph in this dataset: 91 meV/atom
DFT formation energy: -0.256 eV/atom
magnetic moment: 0.000 μB per cell

Cell lengths 3.5807, 3.5807, 6.8297 Å; angles 74.41, 74.41, 61.25 degrees
With the nearest neighbours (Å) after each atom.
Fractional positions:
P1 0.2500 0.2500 0.2500  6 Pt 2.44
In1 0.7500 0.7500 0.7500  6 Pt 2.85-2.87
Pt1 0.5204 0.5204 0.4463  3 P 2.44
Pt2 0.9796 0.9796 0.0537  3 P 2.44

Entry from the Alexandria database: a relaxed structure of Th6Tc2Pd (PBE).

Computed properties:
space group: P-62m, No. 189
crystal system: hexagonal
DFT formation energy: -0.133 eV/atom
magnetic moment: 0.000 μB per cell

Cell lengths 4.3044, 7.9711, 7.9711 Å; angles 120.00, 90.00, 90.00 degrees
With the nearest neighbours (Å) after each atom.
Fractional positions:
Th1 0.5000 0.5799 0.5799  4 Tc 3.21, 2 Th 3.33, 1 Pd 3.35
Th2 0.0000 0.0000 0.7393  2 Tc 2.99, 2 Pd 2.99, 2 Th 3.33
Th3 0.5000 0.0000 0.4201  4 Tc 3.21, 2 Th 3.33, 1 Pd 3.35
Th4 0.5000 0.4201 0.0000  4 Tc 3.21, 2 Th 3.33, 1 Pd 3.35
Th5 0.0000 0.2607 0.2607  2 Tc 2.99, 2 Pd 2.99, 2 Th 3.33
Th6 0.0000 0.7393 0.0000  2 Tc 2.99, 2 Pd 2.99, 2 Th 3.33
Tc1 0.0000 0.3333 0.6667  9 Th 2.99-3.21
Tc2 0.0000 0.6667 0.3333  9 Th 2.99-3.21
Pd1 0.5000 0.0000 0.0000  9 Th 2.99-3.35

Entry from the Alexandria database: a relaxed structure of Pm6Sm2HoEr (PBE).

Computed properties:
space group: C2/c, No. 15
crystal system: monoclinic
DFT formation energy: 0.116 eV/atom
magnetic moment: 0.000 μB per cell

Cell lengths 9.7257, 8.9308, 8.9308 Å; angles 118.14, 94.14, 94.14 degrees
With the nearest neighbours (Å) after each atom.
Fractional positions:
Sm1 0.4567 0.8024 0.7014  5 Pm 3.28-3.50, 2 Ho 3.42-3.43, 1 Er 3.57
Sm2 0.9567 0.7014 0.8024  5 Pm 3.28-3.50, 2 Ho 3.42-3.43, 1 Er 3.57
Sm3 0.0433 0.2986 0.1976  5 Pm 3.28-3.50, 2 Ho 3.42-3.43, 1 Er 3.57
Sm4 0.5433 0.1976 0.2986  5 Pm 3.28-3.50, 2 Ho 3.42-3.43, 1 Er 3.57
Pm1 0.1886 0.5711 0.0150  3 Pm 3.29-3.68, 1 Sm 3.45, 1 Er 3.47, 1 Ho 3.60
Pm2 0.8808 0.2908 0.5031  3 Sm 3.28-3.48, 4 Pm 3.29-3.64, 2 Er 3.46-3.59
Pm3 0.4450 0.2437 0.8777  7 Pm 3.44-3.80, 1 Sm 3.50, 1 Ho 3.68
Pm4 0.6192 0.4969 0.7092  3 Sm 3.28-3.48, 4 Pm 3.29-3.64, 2 Er 3.46-3.59
Pm5 0.3808 0.5031 0.2908  3 Sm 3.28-3.48, 4 Pm 3.29-3.64, 2 Er 3.46-3.59
Pm6 0.3114 0.9850 0.4289  3 Pm 3.29-3.68, 1 Sm 3.45, 1 Er 3.47, 1 Ho 3.60
Pm7 0.9450 0.8777 0.2437  7 Pm 3.44-3.80, 1 Sm 3.50, 1 Ho 3.68
Pm8 0.8114 0.4289 0.9850  3 Pm 3.29-3.68, 1 Sm 3.45, 1 Er 3.47, 1 Ho 3.60
Pm9 0.6886 0.0150 0.5711  3 Pm 3.29-3.68, 1 Sm 3.45, 1 Er 3.47, 1 Ho 3.60
Pm10 0.0550 0.1223 0.7563  7 Pm 3.44-3.80, 1 Sm 3.50, 1 Ho 3.68
Pm11 0.5550 0.7563 0.1223  7 Pm 3.44-3.80, 1 Sm 3.50, 1 Ho 3.68
Pm12 0.1192 0.7092 0.4969  3 Sm 3.28-3.48, 4 Pm 3.29-3.64, 2 Er 3.46-3.59
Ho1 0.7500 0.0228 0.9772  4 Sm 3.42-3.43, 4 Pm 3.60-3.68
Ho2 0.2500 0.9772 0.0228  4 Sm 3.42-3.43, 4 Pm 3.60-3.68
Er1 0.7500 0.5909 0.4091  6 Pm 3.46-3.59, 2 Sm 3.57
Er2 0.2500 0.4091 0.5909  6 Pm 3.46-3.59, 2 Sm 3.57

Entry from the Alexandria database: a relaxed structure of PmSc2Tl3 (PBE).

Computed properties:
space group: P4/mmm, No. 123
crystal system: tetragonal
DFT formation energy: -0.305 eV/atom
magnetic moment: 0.000 μB per cell

Cell lengths 3.6555, 3.6555, 11.3375 Å; angles 90.00, 90.00, 90.00 degrees
With the nearest neighbours (Å) after each atom.
Fractional positions:
Pm1 0.5000 0.5000 0.5000  8 Tl 3.35, 4 Pm 3.66
Sc1 0.5000 0.5000 0.8445  8 Tl 3.13-3.14
Sc2 0.5000 0.5000 0.1555  8 Tl 3.13-3.14
Tl1 0.0000 0.0000 0.3124  4 Sc 3.14, 4 Pm 3.35
Tl2 0.0000 0.0000 0.0000  8 Sc 3.13
Tl3 0.0000 0.0000 0.6876  4 Sc 3.14, 4 Pm 3.35

Entry from the Alexandria database: a relaxed structure of Mg3NiBi (PBE).

Computed properties:
space group: Pm-3m, No. 221
crystal system: cubic
energy above the most stable polymorph in this dataset: 872 meV/atom
DFT formation energy: 0.894 eV/atom
magnetic moment: 0.410 μB per cell

Cell lengths 5.4147, 5.4147, 5.4147 Å; angles 90.00, 90.00, 90.00 degrees
With the nearest neighbours (Å) after each atom.
Fractional positions:
Bi1 0.0000 0.0000 0.0000  6 Mg 2.71
Mg1 0.0000 0.0000 0.5000  2 Bi 2.71
Mg2 0.0000 0.5000 0.0000  2 Bi 2.71
Mg3 0.5000 0.0000 0.0000  2 Bi 2.71
Ni1 0.5000 0.5000 0.5000  12 Mg 3.83

Entry from the Alexandria database: a relaxed structure of NpAlGaGe (PBE).

Computed properties:
space group: F-43m, No. 216
crystal system: cubic
energy above the most stable polymorph in this dataset: 233 meV/atom
DFT formation energy: 0.016 eV/atom
magnetic moment: 4.147 μB per cell

Cell lengths 4.7818, 4.7818, 4.7818 Å; angles 60.00, 60.00, 60.00 degrees
With the nearest neighbours (Å) after each atom.
Fractional positions:
Ge1 0.0000 0.0000 0.0000  4 Al 2.93, 4 Np 2.93
Np1 0.7500 0.7500 0.7500  4 Ge 2.93, 4 Ga 2.93
Ga1 0.5000 0.5000 0.5000  4 Np 2.93, 4 Al 2.93
Al1 0.2500 0.2500 0.2500  4 Ge 2.93, 4 Ga 2.93

Entry from the Alexandria database: a relaxed structure of SrCu2Ni2 (PBE).

Computed properties:
space group: Fddd, No. 70
crystal system: orthorhombic
energy above the most stable polymorph in this dataset: 1 meV/atom
DFT formation energy: 0.079 eV/atom
magnetic moment: 0.000 μB per cell

Cell lengths 5.7129, 5.7129, 6.9170 Å; angles 100.58, 100.58, 123.74 degrees
With the nearest neighbours (Å) after each atom.
Fractional positions:
Ni1 0.1019 0.1019 0.2037  4 Cu 2.37-2.40, 1 Ni 2.60
Ni2 0.1481 0.6481 0.2963  4 Cu 2.37-2.40, 1 Ni 2.60
Ni3 0.8981 0.8981 0.7963  4 Cu 2.37-2.40, 1 Ni 2.60
Ni4 0.3519 0.8519 0.7037  4 Cu 2.37-2.40, 1 Ni 2.60
Cu1 0.2002 0.7998 0.0000  4 Ni 2.37-2.40
Cu2 0.4502 0.5498 0.5000  4 Ni 2.37-2.40
Cu3 0.7998 0.2002 0.0000  4 Ni 2.37-2.40
Cu4 0.0498 0.9502 0.5000  4 Ni 2.37-2.40
Sr1 0.7500 0.2500 0.5000  4 Ni 2.99, 2 Cu 3.02
Sr2 0.5000 0.5000 0.0000  4 Ni 2.99, 2 Cu 3.02

Entry from the Alexandria database: a relaxed structure of Y3As5 (PBE).

Computed properties:
space group: P6_3/mcm, No. 193
crystal system: hexagonal
energy above the most stable polymorph in this dataset: 36 meV/atom
DFT formation energy: -0.815 eV/atom
magnetic moment: 0.000 μB per cell

Cell lengths 8.6034, 8.6034, 5.6102 Å; angles 90.00, 90.00, 120.00 degrees
With the nearest neighbours (Å) after each atom.
Fractional positions:
As1 0.6667 0.3333 0.0000  2 As 2.81, 6 Y 3.05
As2 0.3333 0.6667 0.5000  2 As 2.81, 6 Y 3.05
As3 0.0000 0.2169 0.2500  4 Y 2.79-3.11
As4 0.2169 0.0000 0.2500  4 Y 2.79-3.11
As5 0.6667 0.3333 0.5000  2 As 2.81, 6 Y 3.05
As6 0.3333 0.6667 0.0000  2 As 2.81, 6 Y 3.05
As7 0.7831 0.7831 0.2500  4 Y 2.79-3.11
As8 0.7831 0.0000 0.7500  4 Y 2.79-3.11
As9 0.2169 0.2169 0.7500  4 Y 2.79-3.11
As10 0.0000 0.7831 0.7500  4 Y 2.79-3.11
Y1 0.0000 0.6271 0.2500  8 As 2.79-3.11
Y2 0.3729 0.3729 0.2500  8 As 2.79-3.11
Y3 0.6271 0.6271 0.7500  8 As 2.79-3.11
Y4 0.0000 0.3729 0.7500  8 As 2.79-3.11
Y5 0.3729 0.0000 0.7500  8 As 2.79-3.11
Y6 0.6271 0.0000 0.2500  8 As 2.79-3.11